1.
Below is Tb4Sm2YMg after structural relaxation, with properties calculated at the PBE-GGA level.

CIF file:
```
data_Tb4Sm2YMg
_chemical_formula_sum 'Tb4 Sm2 Y1 Mg1'
_cell_length_a 4.9913
_cell_length_b 4.9913
_cell_length_c 10.0967
_cell_angle_alpha 90.00
_cell_angle_beta 90.00
_cell_angle_gamma 90.00
_space_group_name_H-M_alt 'P 4/m m m'
_space_group_IT_number 123
_space_group_name_Hall '-P 4 2'
loop_
_atom_site_label
_atom_site_fract_x
_atom_site_fract_y
_atom_site_fract_z
Tb1 0.0000 0.5000 0.2478
Sm1 0.0000 0.0000 0.0000
Sm2 0.5000 0.5000 0.5000
Y1 0.0000 0.0000 0.5000
Mg1 0.5000 0.5000 0.0000
```

Output
DFT formation energy ... 0.024 eV/atom

---

2.
Below is Be3GeN after structural relaxation, with properties calculated at the PBE-GGA level.

CIF file:
```
data_Be3GeN
_chemical_formula_sum 'Be3 Ge1 N1'
_cell_length_a 3.6162
_cell_length_b 3.6162
_cell_length_c 3.6162
_cell_angle_alpha 90.00
_cell_angle_beta 90.00
_cell_angle_gamma 90.00
_space_group_name_H-M_alt 'P m -3 m'
_space_group_IT_number 221
_space_group_name_Hall '-P 4 2 3'
loop_
_atom_site_label
_atom_site_fract_x
_atom_site_fract_y
_atom_site_fract_z
Be1 0.0000 0.0000 0.5000
Ge1 0.5000 0.5000 0.5000
N1 0.0000 0.0000 0.0000
```

Output
Calculated total energy ... -4.792 eV per atom

---

Q: What is the formula in the first record?
A: Tb4Sm2YMg